[1]
Sm3SeO7 | Alexandria via LeMat-Bulk | PBE | relaxed; final energy = -7.30 eV per atom; energy relative to the elements, uncorrected = -2.55 eV per atom
1.0
6.5654 0.1021 0.0000
-2.1783 6.2109 0.0000
0.0000 0.0000 7.6476
O Sm Se
14 6 2
direct
0.3182 0.0745 0.4792
0.0789 0.3353 0.5197
0.6975 0.9438 0.5309
0.6295 0.3695 0.7477
0.3025 0.0562 0.0309
0.9435 0.0579 0.2615
0.9529 0.7124 0.4668
0.6371 0.3626 0.2550
0.0565 0.9421 0.7615
0.0471 0.2876 0.9668
0.3629 0.6374 0.7550
0.9211 0.6647 0.0197
0.3705 0.6305 0.2477
0.6818 0.9255 0.9792
0.9978 0.5351 0.7431
0.5314 0.9981 0.2552
0.4604 0.4647 0.5012
0.5396 0.5353 0.0012
0.0022 0.4649 0.2431
0.4686 0.0019 0.7552
0.0113 0.0040 0.9895
0.9887 0.9960 0.4895


[2]
NaSmGePt | Alexandria via LeMat-Bulk | PBE | relaxed; final energy = -4.76 eV per atom; ΔE_f = -2.34 eV/f.u.
1.0
4.8040 0.0000 0.0000
2.4020 4.1604 0.0000
2.4020 1.3868 3.9225
Sm Na Pt Ge
1 1 1 1
direct
0.5000 0.5000 0.5000
0.2500 0.2500 0.2500
0.7500 0.7500 0.7500
0.0000 0.0000 0.0000


[3]
TaNi2W | Alexandria via LeMat-Bulk | PBE | relaxed; final energy = -9.03 eV per atom; ΔE_f = 0.26 eV/f.u.
1.0
-3.2208 0.1854 0.3135
-0.3614 -1.9718 -2.5471
0.0743 -4.2372 3.2695
W Ta Ni
1 1 2
direct
0.5000 0.5000 0.7500
0.5000 0.5000 0.2500
0.0000 0.0000 0.5029
0.0000 0.0000 0.9971


[4]
CaB2N2 | Alexandria via LeMat-Bulk | PBE | relaxed; final energy = -6.02 eV per atom; energy relative to the elements, uncorrected = 0.39 eV per atom
1.0
-0.7060 1.0023 -3.0492
-1.0442 -3.0240 -0.7522
-4.8253 0.0397 -0.6408
N B Ca
2 2 1
direct
0.7012 0.7012 0.5975
0.2988 0.2988 0.4025
0.7500 0.2500 0.5000
0.2500 0.7500 0.5000
0.0000 0.0000 0.0000


> Which value of final energy does entry 3 give?

-9.03 eV per atom